! TmTiS3 PBE optimized geometry; values from VASP
&SYSTEM
  ibrav = 0, nat = 10, ntyp = 3
/
ATOMIC_SPECIES
S 32.06 S.upf
Ti 47.87 Ti.upf
Tm 168.93 Tm.upf
ATOMIC_POSITIONS crystal
S 0.5727 0.2895 0.1455
S 0.2173 0.2694 0.4346
S 0.1199 0.7940 0.2398
S 0.8801 0.2940 0.7602
S 0.7827 0.7694 0.5654
S 0.4273 0.7895 0.8545
Ti 0.1135 0.4282 0.2269
Ti 0.8865 0.9282 0.7731
Tm 0.6738 0.0129 0.3475
Tm 0.3262 0.5129 0.6525
CELL_PARAMETERS angstrom
3.9886 0.0000 0.0000
0.0000 6.2916 0.0000
-1.9943 0.0000 10.4618
! Space group: No. 36
! Energy (eV for the cell shown): -64.9
! ΔE_f (raw) (eV/atom): -1.54
! DOS(E_F) (states/eV/f.u.): 2.56